# 1
Below is crystalline ErSnRh at its relaxed geometry, with properties calculated at the PBE-GGA level.

Computed properties:
Crystal system: hexagonal
Total energy, eV/atom: -6.217

Unit cell a=7.6596 b=7.6596 c=3.6810 alpha=90.00 beta=90.00 gamma=120.00
With the nearest neighbours (Å) after each atom.
Positions (direct):
Rh: 0.3333 0.6667 0.5000  3 Sn 2.84, 6 Er 2.97
Rh: 0.0000 0.0000 0.0000  6 Sn 2.75, 3 Er 3.07
Rh: 0.6667 0.3333 0.5000  3 Sn 2.84, 6 Er 2.97
Er: 0.5987 0.0000 0.0000  5 Rh 2.97-3.07, 6 Sn 3.13-3.28
Er: 0.0000 0.5987 0.0000  5 Rh 2.97-3.07, 6 Sn 3.13-3.28
Er: 0.4013 0.4013 0.0000  5 Rh 2.97-3.07, 6 Sn 3.13-3.28
Sn: 0.0000 0.2675 0.5000  4 Rh 2.75-2.84
Sn: 0.2675 0.0000 0.5000  4 Rh 2.75-2.84
Sn: 0.7325 0.7325 0.5000  4 Rh 2.75-2.84

---

# 2
Below is crystalline ErSnRh2 at its relaxed geometry, with properties calculated at the PBE-GGA level.

Computed properties:
Crystal system: tetragonal
Total energy, eV/atom: -6.621

Unit cell a=3.5212 b=4.5404 c=4.5404 alpha=90.00 beta=90.00 gamma=90.00
With the nearest neighbours (Å) after each atom.
Positions (direct):
Rh: 0.0000 0.0000 0.5000  4 Er 2.87, 4 Sn 2.87, 4 Rh 3.21
Rh: 0.0000 0.5000 0.0000  4 Er 2.87, 4 Sn 2.87, 4 Rh 3.21
Sn: 0.5000 0.0000 0.0000  8 Rh 2.87, 4 Er 3.21
Er: 0.5000 0.5000 0.5000  8 Rh 2.87, 4 Sn 3.21

---

# 3
Below is crystalline ErSn4Rh7 at its relaxed geometry, with properties calculated at the PBE-GGA level.

Computed properties:
Crystal system: monoclinic
Total energy, eV/atom: -6.321

Unit cell a=4.7738 b=8.0530 c=6.5645 alpha=80.71 beta=68.68 gamma=72.76
With the nearest neighbours (Å) after each atom.
Positions (direct):
Sn: 0.7199 0.6622 0.8979  6 Rh 2.59-2.75
Sn: 0.5848 0.2173 0.6132  8 Rh 2.64-2.84
Sn: 0.2801 0.3378 0.1021  6 Rh 2.59-2.75
Sn: 0.4152 0.7827 0.3868  8 Rh 2.64-2.84
Rh: 0.5000 0.0000 0.0000  2 Er 2.39
Rh: 0.7832 0.8782 0.5553  4 Sn 2.59-2.72, 1 Rh 2.84
Rh: 0.0713 0.6690 0.1884  3 Sn 2.63-2.84, 1 Er 2.73, 1 Rh 2.84
Rh: 0.6434 0.4432 0.2699  5 Sn 2.64-2.75
Rh: 0.9287 0.3310 0.8116  3 Sn 2.63-2.84, 1 Er 2.73, 1 Rh 2.84
Rh: 0.2168 0.1218 0.4447  4 Sn 2.59-2.72, 1 Rh 2.84
Rh: 0.3566 0.5568 0.7301  5 Sn 2.64-2.75
Er: 0.0000 0.0000 0.0000  2 Rh 2.39

---

# 4
Below is crystalline ErSn3Rh at its relaxed geometry, with properties calculated at the PBE-GGA level.

Computed properties:
Crystal system: orthorhombic
Total energy, eV/atom: -5.166

Unit cell a=4.4763 b=6.7750 c=8.9850 alpha=112.15 beta=90.00 gamma=90.00
With the nearest neighbours (Å) after each atom.
Positions (direct):
Sn: 0.7500 0.7689 0.6482  5 Sn 2.95-3.21, 2 Er 3.23
Sn: 0.7500 0.7941 0.1439  3 Rh 2.73-2.85
Sn: 0.2500 0.6502 0.8561  3 Rh 2.73-2.85
Sn: 0.7500 0.3068 0.5777  1 Rh 2.63
Sn: 0.2500 0.1207 0.3518  5 Sn 2.95-3.21, 2 Er 3.23
Sn: 0.2500 0.7291 0.4223  1 Rh 2.63
Er: 0.7500 0.3261 0.1944  3 Rh 2.84-2.99
Er: 0.2500 0.1317 0.8056  3 Rh 2.84-2.99
Rh: 0.2500 0.5198 0.1089  4 Sn 2.63-2.85, 2 Er 2.84, 2 Rh 2.88
Rh: 0.7500 0.4109 0.8911  4 Sn 2.63-2.85, 2 Er 2.84, 2 Rh 2.88